P) Ir2SBr | PBE-GGA | optimized geometry

The space group is Fm-3m (No. 225) and the conventional cell measures 6.314, 6.314 and 6.314 Å, with angles of 90.00, 90.00 and 90.00 degrees. The distinct sites, in fractional coordinates, are Ir at (0.250, 0.250, 0.250), S at (0.000, 0.000, 0.000) and Br at (0.000, 0.000, 0.500).

Q) Ir2SBr | PBE-GGA | optimized geometry

The space group is I-42d (No. 122) and the conventional cell measures 4.736, 4.736 and 14.172 Å, with angles of 90.00, 90.00 and 90.00 degrees. The distinct sites, in fractional coordinates, are Ir at (0.152, 0.250, 0.125), S at (0.000, 0.000, 0.000) and Br at (0.000, 0.000, 0.500).

Energetically preferred structure: Q) | next structure: +617 meV per atom